No. 1
A relaxed structure of Cs2TiBe. Source: Alexandria, functional PBE-GGA.

abc: 6.2388 6.2388 6.2388
angles: 60.00 60.00 60.00
With the nearest neighbours (Å) after each atom.
Positions (direct):
Cs 0.2500 0.2500 0.2500  4 Be 3.82, 4 Ti 3.82
Cs 0.7500 0.7500 0.7500  4 Be 3.82, 4 Ti 3.82
Ti 0.0000 0.0000 0.0000  8 Cs 3.82
Be 0.5000 0.5000 0.5000  8 Cs 3.82

- size of the total moment (μB per cell) = 3.9
- space group = No. 225
- ΔE_f (eV per formula unit) = 6.1
- crystal system = cubic

No. 2
A relaxed structure of CsTi3Be. Source: Alexandria, functional PBE-GGA.

abc: 4.7201 4.7201 4.7201
angles: 90.00 90.00 90.00
With the nearest neighbours (Å) after each atom.
Positions (direct):
Cs 0.0000 0.0000 0.0000  12 Ti 3.34
Ti 0.0000 0.5000 0.5000  2 Be 2.36
Ti 0.5000 0.0000 0.5000  2 Be 2.36
Ti 0.5000 0.5000 0.0000  2 Be 2.36
Be 0.5000 0.5000 0.5000  6 Ti 2.36

- size of the total moment (μB per cell) = 0.0
- space group = No. 221
- ΔE_f (eV per formula unit) = 5.5
- crystal system = cubic